[1]
# LiSn2OsCl

LiSn2OsCl after structural relaxation (PBE-GGA, Alexandria).

The structure in POSCAR format:
```
LiSn2OsCl
1.0
5.038 0.000 0.000
0.000 4.334 0.000
0.000 0.000 5.038
Sn Os Cl Li
2 1 1 1
Cartesian
2.519 0.000 0.000
0.000 0.000 2.519
0.000 2.167 0.000
2.519 2.167 2.519
0.000 0.000 0.000
```

Values from the calculation:
As for the symmetry: No. 123. The raw total energy is -3.72 eV/atom. The raw formation energy is 0.884 eV per atom.

=====

[2]
# SrLi2OsCl8

SrLi2OsCl8 after structural relaxation (PBE-GGA, Alexandria).

The structure in POSCAR format:
```
SrLi2OsCl8
1.0
6.205 0.286 0.031
0.320 6.082 0.028
0.053 0.055 8.219
Li Cl Sr Os
2 8 1 1
Cartesian
3.268 3.179 5.827
3.309 3.243 2.452
1.404 4.799 6.552
4.730 4.949 0.070
1.362 4.754 1.726
4.422 4.464 4.170
5.173 1.624 1.727
5.215 1.668 6.553
2.156 1.958 4.109
1.848 1.474 8.208
0.027 0.027 4.110
0.000 0.000 0.000
```

Values from the calculation:
As for the symmetry: No. 2. The raw total energy is -3.95 eV/atom. The raw formation energy is -1.325 eV per atom.

=====

[3]
# LiTlOs2Cl

LiTlOs2Cl after structural relaxation (PBE-GGA, Alexandria).

The structure in POSCAR format:
```
LiTlOs2Cl
1.0
5.134 0.000 0.000
0.000 5.351 0.000
0.000 0.000 5.134
Os Li Tl Cl
2 1 1 1
Cartesian
2.567 0.000 0.000
0.000 0.000 2.567
0.000 2.675 0.000
0.000 0.000 0.000
2.567 2.675 2.567
```

Values from the calculation:
As for the symmetry: No. 123. The raw total energy is -3.67 eV/atom. The raw formation energy is 2.051 eV per atom.

=====

[4]
# Li2TlOsCl8

Li2TlOsCl8 after structural relaxation (PBE-GGA, Alexandria).

The structure in POSCAR format:
```
Li2TlOsCl8
1.0
-1.469 -5.857 -1.437
5.510 -1.295 1.965
-2.835 -1.068 7.266
Tl Cl Li Os
1 8 2 1
Cartesian
-1.418 -0.534 3.633
1.936 -2.817 7.050
1.042 -2.137 0.094
-2.351 -6.014 4.901
-0.730 -5.403 0.744
0.163 -6.083 7.700
1.448 -5.328 4.049
3.556 -2.206 2.893
-0.242 -2.892 3.745
1.326 -3.838 2.063
-0.120 -4.382 5.731
0.000 0.000 0.000
```

Values from the calculation:
As for the symmetry: No. 2. The raw total energy is -3.60 eV/atom. The raw formation energy is -0.919 eV per atom.

=====

[5]
# LiTlOsCl6

LiTlOsCl6 after structural relaxation (PBE-GGA, Alexandria).

The structure in POSCAR format:
```
LiTlOsCl6
1.0
-2.732 0.328 5.865
-2.568 -3.817 -4.560
8.040 -10.590 4.338
Li Cl Os Tl
2 12 2 2
Cartesian
-0.613 -5.083 -0.001
3.352 -8.996 5.643
0.120 -1.596 2.781
1.780 -10.516 0.476
-2.342 -2.657 4.754
0.835 -4.905 2.123
5.081 -11.423 0.888
1.905 -9.174 3.519
-1.458 -5.716 4.394
0.960 -3.564 5.166
2.620 -12.483 2.861
4.859 -10.310 4.017
-2.120 -3.770 1.625
4.198 -8.364 1.248
3.407 -10.378 2.168
-0.667 -3.701 3.474
0.000 0.000 0.000
4.020 -5.295 2.169
```

Values from the calculation:
As for the symmetry: No. 163. The raw total energy is -3.81 eV/atom. The raw formation energy is -0.858 eV per atom.

=====

[6]
# LiTl2OsCl6

LiTl2OsCl6 after structural relaxation (PBE-GGA, Alexandria).

The structure in POSCAR format:
```
LiTl2OsCl6
1.0
-0.860 -3.077 6.256
-1.719 -6.015 -3.195
9.556 -2.718 -0.024
Cl Li Tl Os
12 2 4 2
Cartesian
3.302 -6.577 3.049
1.633 -3.750 2.324
-1.084 -3.809 -0.135
4.535 -2.226 1.585
5.980 -6.581 -2.415
0.996 -5.163 -2.403
3.713 -5.105 0.056
-1.532 -5.413 3.128
-2.354 -8.292 1.598
6.205 -5.050 2.312
-1.906 -6.687 -1.664
4.124 -3.699 4.579
3.491 -5.863 -2.404
-0.862 -3.050 2.325
5.445 -8.092 0.712
6.740 -3.539 -0.815
0.671 -6.734 0.724
1.958 -2.179 -0.803
-1.289 -4.512 -2.396
3.919 -4.401 2.317
```

Values from the calculation:
As for the symmetry: No. 59. The raw total energy is -3.74 eV/atom. The raw formation energy is -0.847 eV per atom.

=====

[7]
# Li2TlOsCl

Li2TlOsCl after structural relaxation (PBE-GGA, Alexandria).

The structure in POSCAR format:
```
Li2TlOsCl
1.0
-4.746 0.819 2.053
-2.295 -1.748 -4.610
-0.035 -4.890 1.872
Tl Li Cl Os
1 2 1 1
Cartesian
0.000 0.000 0.000
-0.017 -2.445 0.936
-2.373 0.410 1.026
-1.148 -0.874 -2.305
-3.538 -2.909 -0.343
```

Values from the calculation:
As for the symmetry: No. 123. The raw total energy is -2.59 eV/atom. The raw formation energy is 1.265 eV per atom.

=====

[8]
# LiPCl

LiPCl after structural relaxation (PBE-GGA, Alexandria).

The structure in POSCAR format:
```
LiPCl
1.0
-2.719 -1.781 0.965
1.787 -0.519 4.064
-4.288 9.664 0.754
P Cl Li
2 2 2
Cartesian
-1.756 2.873 2.585
-2.578 1.821 4.291
0.605 -1.195 4.249
-4.881 5.842 2.735
-4.248 8.109 2.747
-4.316 6.201 4.992
```

Values from the calculation:
As for the symmetry: No. 1. The raw total energy is -4.02 eV/atom. The calculation puts the polymorph energy (0 for the lowest one) at 90 meV per atom. The raw formation energy is -0.961 eV per atom.

=====

[9]
# LiPCl

LiPCl after structural relaxation (PBE-GGA, Alexandria).

The structure in POSCAR format:
```
LiPCl
1.0
5.747 0.012 -0.002
3.367 4.658 0.002
-4.188 -3.055 2.481
Li P Cl
1 1 1
Cartesian
2.211 1.133 0.000
7.075 3.626 0.000
8.941 4.582 0.000
```

Values from the calculation:
As for the symmetry: No. 44. The raw total energy is -3.44 eV/atom. The calculation puts the polymorph energy (0 for the lowest one) at 668 meV per atom. The raw formation energy is -0.384 eV per atom.

=====

[10]
# Li2PCl6

Li2PCl6 after structural relaxation (PBE-GGA, Alexandria).

The structure in POSCAR format:
```
Li2PCl6
1.0
-0.458 4.467 3.916
-5.093 1.727 -2.565
-5.583 -6.470 6.728
Cl Li P
12 4 2
Cartesian
-6.847 -0.895 2.248
-5.747 2.012 3.259
-7.460 0.027 5.324
-1.534 1.712 0.373
-4.286 0.619 5.830
-5.083 1.246 -0.322
-5.386 -2.288 4.819
-4.016 4.482 0.977
-8.953 -3.238 4.341
-2.180 2.962 3.737
-3.673 -0.303 2.755
-6.050 -1.522 8.400
-3.714 2.009 1.807
-3.730 -4.323 4.495
-1.852 -2.147 2.232
-7.419 -2.284 6.272
-5.567 -0.138 4.039
0.000 0.000 0.000
```

Values from the calculation:
As for the symmetry: No. 136. The raw total energy is -3.23 eV/atom. The raw formation energy is -0.970 eV per atom.

=====

[11]
# LiPCl6

LiPCl6 after structural relaxation (PBE-GGA, Alexandria).

The structure in POSCAR format:
```
LiPCl6
1.0
6.208 0.007 0.009
3.097 5.380 0.012
3.095 1.788 5.526
Cl Li P
6 1 1
Cartesian
5.293 1.533 1.258
7.106 5.643 4.288
7.526 1.770 4.283
8.437 3.831 1.266
3.962 3.344 4.280
4.874 5.406 1.263
6.200 3.588 2.773
0.000 0.000 0.000
```

Values from the calculation:
As for the symmetry: No. 148. The raw total energy is -3.04 eV/atom. The raw formation energy is -0.737 eV per atom.

=====

[12]
# LiPCl

LiPCl after structural relaxation (PBE-GGA, Alexandria).

The structure in POSCAR format:
```
LiPCl
1.0
3.561 0.000 0.000
-1.781 3.084 0.000
0.000 0.000 11.058
P Cl Li
2 2 2
Cartesian
1.781 1.028 6.131
0.000 2.056 7.310
1.781 1.028 10.173
0.000 2.056 2.536
0.000 2.056 0.051
1.781 1.028 3.450
```

Values from the calculation:
As for the symmetry: No. 156. The raw total energy is -4.10 eV/atom. The calculation puts the polymorph energy (0 for the lowest one) at 5 meV per atom. The raw formation energy is -1.046 eV per atom.